Record 1
Material: Ce8SnGe5
Method: DFT, PBE
State: relaxed

Computed properties:
* ΔH_f (0 K): -0.66 eV/atom
* DOS at the Fermi energy: 38.403 states/eV per cell

a b c (Å): 7.826 7.826 7.826
angles (deg): 109.69 109.69 109.03
Sites, in units of the cell vectors:
Ce 0.101 0.375 0.591
Ce 0.112 0.372 0.103
Ce 0.269 0.010 0.897
Ce 0.490 0.899 0.274
Ce 0.625 0.216 0.726
Ce 0.628 0.731 0.741
Ce 0.784 0.510 0.409
Ce 0.990 0.888 0.259
Sn 0.500 0.500 0.000
Ge 0.001 0.627 0.886
Ge 0.250 0.750 0.500
Ge 0.373 0.258 0.374
Ge 0.742 0.115 0.114
Ge 0.885 0.999 0.626

Record 2
Material: Ba3Sr9Al4O16F4
Method: DFT, PBE
State: relaxed

Computed properties:
* uncorrected formation energy: -3.07 eV/atom
* DOS at the Fermi energy: 0.000 states/eV per cell

a b c (Å): 6.948 6.948 11.294
angles (deg): 90.00 90.00 90.00
Sites, in units of the cell vectors:
Ba 0.000 0.000 0.000
Ba 0.000 0.000 0.500
Ba 0.500 0.500 0.000
Sr 0.170 0.331 0.251
Sr 0.170 0.669 0.749
Sr 0.331 0.170 0.749
Sr 0.331 0.830 0.251
Sr 0.500 0.500 0.500
Sr 0.669 0.170 0.251
Sr 0.669 0.830 0.749
Sr 0.830 0.331 0.749
Sr 0.830 0.669 0.251
Al 0.000 0.500 0.000
Al 0.000 0.500 0.500
Al 0.500 0.000 0.000
Al 0.500 0.000 0.500
O 0.139 0.362 0.896
O 0.139 0.638 0.104
O 0.143 0.364 0.603
O 0.143 0.636 0.397
O 0.362 0.139 0.104
O 0.362 0.861 0.896
O 0.364 0.143 0.397
O 0.364 0.857 0.603
O 0.636 0.143 0.603
O 0.636 0.857 0.397
O 0.638 0.139 0.896
O 0.638 0.861 0.104
O 0.857 0.364 0.397
O 0.857 0.636 0.603
O 0.861 0.362 0.104
O 0.861 0.638 0.896
F 0.000 0.000 0.252
F 0.000 0.000 0.748
F 0.500 0.500 0.257
F 0.500 0.500 0.743

Record 3
Material: Ho4Mg3Tc
Method: DFT, PBE
State: relaxed

Computed properties:
* ΔH_f (0 K): -0.08 eV/atom
* DOS at the Fermi energy: 8.763 states/eV per cell

a b c (Å): 3.549 3.549 16.056
angles (deg): 90.00 90.00 90.00
Sites, in units of the cell vectors:
Ho 0.000 0.000 0.099
Ho 0.000 0.000 0.370
Ho 0.000 0.000 0.630
Ho 0.000 0.000 0.901
Mg 0.500 0.500 0.238
Mg 0.500 0.500 0.500
Mg 0.500 0.500 0.762
Tc 0.500 0.500 0.000

Record 4
Material: MnSbH
Method: DFT, PBE
State: relaxed

Computed properties:
* offset from the most stable computed form: 76 meV/atom
* DOS at the Fermi energy: 7.023 states/eV per cell

a b c (Å): 9.695 3.185 5.479
angles (deg): 90.00 102.89 90.00
Sites, in units of the cell vectors:
Mn 0.178 0.000 0.301
Mn 0.322 0.500 0.699
Mn 0.678 0.500 0.301
Mn 0.822 0.000 0.699
Sb 0.112 0.000 0.771
Sb 0.388 0.500 0.229
Sb 0.612 0.500 0.771
Sb 0.888 0.000 0.229
H 0.108 0.500 0.245
H 0.392 0.000 0.755
H 0.608 0.000 0.245
H 0.892 0.500 0.755

Record 5
Material: Li3CaIn2
Method: DFT, PBE
State: relaxed

Computed properties:
* ΔH_f (0 K): -0.26 eV/atom
* offset from the most stable computed form: 36 meV/atom
* DOS at the Fermi energy: 5.514 states/eV per cell

a b c (Å): 4.929 4.929 13.162
angles (deg): 90.00 90.00 120.00
Sites, in units of the cell vectors:
Li 0.000 0.000 0.000
Li 0.000 0.000 0.500
Li 0.333 0.667 0.094
Li 0.333 0.667 0.406
Li 0.667 0.333 0.594
Li 0.667 0.333 0.906
Ca 0.000 0.000 0.250
Ca 0.000 0.000 0.750
In 0.333 0.667 0.621
In 0.333 0.667 0.879
In 0.667 0.333 0.121
In 0.667 0.333 0.379

Record 6
Material: MgAlTl2
Method: DFT, PBE
State: relaxed

Computed properties:
* ΔH_f (0 K): 0.22 eV/atom
* offset from the most stable computed form: 128 meV/atom
* DOS at the Fermi energy: 16.431 states/eV per cell

a b c (Å): 7.444 7.444 7.444
angles (deg): 90.00 90.00 90.00
Sites, in units of the cell vectors:
Mg 0.000 0.000 0.000
Mg 0.000 0.500 0.500
Mg 0.500 0.000 0.500
Mg 0.500 0.500 0.000
Al 0.250 0.250 0.750
Al 0.250 0.750 0.250
Al 0.750 0.250 0.250
Al 0.750 0.750 0.750
Tl 0.000 0.000 0.500
Tl 0.000 0.500 0.000
Tl 0.250 0.250 0.250
Tl 0.250 0.750 0.750
Tl 0.500 0.000 0.000
Tl 0.500 0.500 0.500
Tl 0.750 0.250 0.750
Tl 0.750 0.750 0.250

Record 7
Material: Na2PrAg
Method: DFT, PBE
State: relaxed

Computed properties:
* ΔH_f (0 K): 0.20 eV/atom
* DOS at the Fermi energy: 9.929 states/eV per cell

a b c (Å): 3.372 3.372 35.445
angles (deg): 90.00 90.00 120.00
Sites, in units of the cell vectors:
Na 0.000 0.000 0.098
Na 0.000 0.000 0.902
Na 0.333 0.667 0.569
Na 0.333 0.667 0.765
Na 0.667 0.333 0.235
Na 0.667 0.333 0.431
Pr 0.000 0.000 0.000
Pr 0.333 0.667 0.667
Pr 0.667 0.333 0.333
Ag 0.000 0.000 0.500
Ag 0.333 0.667 0.167
Ag 0.667 0.333 0.833

no.,mass density (g cm⁻³)
1,7.215
2,4.997
3,6.822
4,7.157
5,3.485
6,7.407
7,4.208